Below is a relaxed Tb2Dy4S9 crystal, with properties calculated at the GGA-PBE level.

Output
Its raw formation energy is -2.06 eV per atom. The density of states at the Fermi level comes out at 0.0 states/eV per cell. The space group is P-3c1.

Cell: 6.9236 6.9236 18.5342 Å, 90.00 90.00 120.00°
Atoms (fractional coordinates):
Tb 0.0000 0.0000 0.1490
Tb 0.0000 0.0000 0.3510
Tb 0.0000 0.0000 0.6490
Tb 0.0000 0.0000 0.8510
Dy 0.3333 0.6667 0.1840
Dy 0.3333 0.6667 0.4830
Dy 0.3333 0.6667 0.6840
Dy 0.3333 0.6667 0.9830
Dy 0.6667 0.3333 0.0170
Dy 0.6667 0.3333 0.3160
Dy 0.6667 0.3333 0.5170
Dy 0.6667 0.3333 0.8160
S 0.0000 0.3014 0.2500
S 0.0000 0.6986 0.7500
S 0.0325 0.3678 0.5834
S 0.0325 0.6647 0.0834
S 0.3014 0.0000 0.2500
S 0.3014 0.3014 0.7500
S 0.3353 0.3678 0.0834
S 0.3353 0.9675 0.5834
S 0.3678 0.0325 0.9166
S 0.3678 0.3353 0.4166
S 0.6322 0.6647 0.5834
S 0.6322 0.9675 0.0834
S 0.6647 0.0325 0.4166
S 0.6647 0.6322 0.9166
S 0.6986 0.0000 0.7500
S 0.6986 0.6986 0.2500
S 0.9675 0.3353 0.9166
S 0.9675 0.6322 0.4166